First-principles (PBE with a Hubbard U) data for a relaxed MnVCoO2 crystal, as listed in Alexandria.

Properties
As for the symmetry: P4/mmm. As for the total magnetization: 5.5 μB per formula unit. The total DFT energy (no corrections) is -30.9 eV per cell. The calculation puts the density of states at the Fermi level at 0.67 states/eV per atom.

Lattice parameters (Å, degrees): 3.7010 6.0592 3.7010 90.00 90.00 90.00
Last column: nearest neighbours and their distance in Å.
Element x y z (fractional)
Mn (0.0000, 0.5000, 0.0000)  4 Co 2.62
Co (0.5000, 0.5000, 0.5000)  4 Mn 2.62
O (0.0000, 0.0000, 0.5000)  2 V 1.85
O (0.5000, 0.0000, 0.0000)  2 V 1.85
V (0.0000, 0.0000, 0.0000)  4 O 1.85